No. 1
# NiAsOsSe2

A relaxed NiAsOsSe2 crystal (PBE, Alexandria via LeMat-Bulk).

Unit cell a=4.5816 b=4.5816 c=4.4010 alpha=90.00 beta=90.00 gamma=90.00
Closest atoms and distances in Å follow each position.
Fractional coordinates of all 5 atoms:
Se  0.5000  0.0000  0.0000  2 Ni 2.29
Os  0.5000  0.5000  0.5000  8 Se 3.18, 4 As 3.24
As  0.0000  0.0000  0.5000  2 Ni 2.20
Ni  0.0000  0.0000  0.0000  2 As 2.20, 4 Se 2.29
Se  0.0000  0.5000  0.0000  2 Ni 2.29

Properties
calculated volume: 92.4 Å³ per cell
distance to the lowest polymorph of the same formula: 27 meV per atom
DFT total energy: -23.216 eV/f.u.
magnetization: 0.00 μB per formula unit
SG: P4/mmm (123)



No. 2
# NiAsOsSe2

A relaxed NiAsOsSe2 crystal (PBE, Alexandria via LeMat-Bulk).

Unit cell a=4.9896 b=4.9896 c=4.6342 alpha=90.00 beta=90.00 gamma=90.00
Closest atoms and distances in Å follow each position.
Fractional coordinates of all 5 atoms:
Se  0.5000  0.0000  0.0000  2 Os 2.49
Ni  0.5000  0.5000  0.5000  8 Se 3.40, 4 As 3.53
Os  0.0000  0.0000  0.0000  2 As 2.32, 4 Se 2.49
As  0.0000  0.0000  0.5000  2 Os 2.32
Se  0.0000  0.5000  0.0000  2 Os 2.49

Properties
calculated volume: 115.4 Å³ per cell
distance to the lowest polymorph of the same formula: 0 meV per atom
DFT total energy: -23.350 eV/f.u.
magnetization: 1.49 μB per formula unit
SG: P4/mmm (123)